Record 1
The following is a DFT calculation (GGA-PBE) of Tb5ErZn4 after structural relaxation.

POSCAR file:
```
Tb5ErZn4
1.0
3.578 0.000 0.000
0.000 3.578 0.000
0.000 0.000 19.318
Tb Zn Er
5 4 1
Cartesian
1.789 1.789 9.659 Tb
1.789 1.789 16.805 Tb
1.789 1.789 13.228 Tb
1.789 1.789 6.090 Tb
1.789 1.789 2.513 Tb
0.000 0.000 11.463 Zn
0.000 0.000 15.024 Zn
0.000 0.000 4.294 Zn
0.000 0.000 7.855 Zn
0.000 0.000 0.000 Er
```

Record 2
The following is a DFT calculation (GGA-PBE) of Tb3ErZn4 after structural relaxation.

POSCAR file:
```
Tb3ErZn4
1.0
4.851 0.000 1.432
2.214 4.316 1.432
0.057 0.035 8.737
Er Zn Tb
1 4 3
Cartesian
0.000 0.000 0.000 Er
2.697 1.647 8.728 Zn
6.206 3.791 5.773 Zn
0.916 0.560 5.828 Zn
4.425 2.703 2.873 Zn
1.785 1.090 2.886 Tb
3.561 2.175 5.801 Tb
5.337 3.261 8.715 Tb
```

Record 3
The following is a DFT calculation (GGA-PBE) of TbErZn after structural relaxation.

POSCAR file:
```
TbErZn
1.0
-4.270 -1.571 -1.851
-1.885 -2.345 6.339
-4.082 8.723 2.013
Zn Tb Er
4 4 4
Cartesian
-4.091 4.471 2.382 Zn
-2.048 0.111 1.371 Zn
-6.147 0.335 4.118 Zn
-8.190 4.695 5.130 Zn
-2.585 2.849 0.286 Tb
-4.670 -1.232 2.040 Tb
-7.653 1.957 6.215 Tb
-5.568 6.038 4.461 Tb
-5.586 -2.460 5.196 Er
-3.553 1.732 3.468 Er
-4.652 7.266 1.305 Er
-6.685 3.074 3.033 Er
```

E above lowest polymorph, meV per atom: 233

Record 4
The following is a DFT calculation (GGA-PBE) of Tb4ErZn after structural relaxation.

POSCAR file:
```
Tb4ErZn
1.0
-0.849 3.819 4.847
0.522 -8.633 2.493
6.863 3.013 -2.974
Tb Er Zn
8 2 2
Cartesian
2.022 2.812 2.156 Tb
1.181 -2.867 6.061 Tb
5.355 1.066 -1.695 Tb
1.113 0.238 4.019 Tb
5.423 -2.039 0.347 Tb
4.514 -4.613 2.209 Tb
2.461 -0.459 0.777 Tb
4.075 -1.342 3.589 Tb
1.312 -3.247 2.589 Er
5.224 1.446 1.776 Er
6.748 -2.756 3.154 Zn
-0.212 0.955 1.212 Zn
```

E above lowest polymorph, meV per atom: 104

Record 5
The following is a DFT calculation (GGA-PBE) of Tb2Er2Zn after structural relaxation.

POSCAR file:
```
Tb2Er2Zn
1.0
4.955 0.000 0.000
0.000 4.955 0.000
-2.478 -2.478 11.996
Tb Er Zn
4 4 2
Cartesian
0.000 2.478 10.212 Tb
0.000 0.000 7.781 Tb
2.478 2.478 4.215 Tb
0.000 2.478 1.783 Tb
0.000 0.000 4.337 Er
2.478 0.000 10.335 Er
2.478 2.478 7.659 Er
2.478 0.000 1.661 Er
2.478 2.478 0.000 Zn
0.000 2.478 5.998 Zn
```

E above lowest polymorph, meV per atom: 137

Record 6
The following is a DFT calculation (GGA-PBE) of Tb4Er3Zn4 after structural relaxation.

POSCAR file:
```
Tb4Er3Zn4
1.0
5.078 0.000 0.000
0.000 6.885 0.000
-2.539 -3.442 8.102
Tb Er Zn
4 3 4
Cartesian
2.539 1.841 2.902 Tb
0.000 1.601 5.200 Tb
0.000 -1.601 5.200 Tb
2.539 5.044 2.902 Tb
2.539 3.442 6.477 Er
0.000 3.442 0.000 Er
0.000 0.000 1.625 Er
2.539 1.275 0.000 Zn
2.539 0.000 5.207 Zn
2.539 5.610 0.000 Zn
0.000 3.442 2.894 Zn
```

Ordered total DFT energy (no corrections) results: -35.5; -26.3; -41.6; -48.7; -39.2; -38.5; unit eV per cell.
Ordered V results: 247.3; 182.4; 339.2; 350.6; 294.6; 283.3; unit Å³ per cell.